[1]
The following is a DFT calculation (GGA-PBE) of an optimized crystal structure of FeSnTe.

Calculated values
E_tot, eV/atom: -4.93

abc: 4.5730 4.5730 4.5730
angles: 60.00 60.00 60.00
Closest atoms and distances in Å follow each position.
Positions (direct):
1 Te 0.7500 0.7500 0.7500  4 Fe 2.80
2 Sn 0.2500 0.2500 0.2500  4 Fe 2.80
3 Fe 0.0000 0.0000 0.0000  4 Te 2.80, 4 Sn 2.80


[2]
The following is a DFT calculation (GGA-PBE) of an optimized crystal structure of Na2HgWSe4.

Calculated values
E_tot, eV/atom: -4.21

abc: 7.6564 7.6564 6.6076
angles: 115.55 115.55 104.70
Closest atoms and distances in Å follow each position.
Positions (direct):
1 Na 0.5146 0.4854 0.0000  4 Se 2.84
2 Se 0.5688 0.8234 0.9157  1 W 2.35
3 Se 0.9364 0.6255 0.4777  1 W 2.35
4 Se 0.3745 0.0636 0.5223  1 W 2.35
5 Se 0.1766 0.4312 0.0843  1 W 2.35
6 Hg 0.0136 0.9864 0.0000  4 Se 3.01
7 W 0.2640 0.7360 0.5000  4 Se 2.35
8 Na 0.7645 0.2355 0.5000  4 Se 3.03-3.04


[3]
The following is a DFT calculation (GGA-PBE) of an optimized crystal structure of PrCdTe.

Calculated values
Relative energy among the computed polymorphs, eV/f.u.: 0.00
E_tot, eV/atom: -3.46

abc: 5.2676 5.2676 5.2676
angles: 60.00 60.00 60.00
Closest atoms and distances in Å follow each position.
Positions (direct):
1 Pr 0.0000 0.0000 0.0000  4 Cd 3.23, 4 Te 3.23
2 Te 0.7500 0.7500 0.7500  4 Pr 3.23
3 Cd 0.2500 0.2500 0.2500  4 Pr 3.23


[4]
The following is a DFT calculation (GGA-PBE) of an optimized crystal structure of Tc2Ge2Mo.

Calculated values
E_tot, eV/atom: -7.65

abc: 5.9015 5.9015 5.9015
angles: 140.57 140.57 56.99
Closest atoms and distances in Å follow each position.
Positions (direct):
1 Ge 0.6129 0.6129 0.0000  1 Ge 2.34, 4 Tc 2.45
2 Ge 0.3871 0.3871 0.0000  1 Ge 2.34, 4 Tc 2.45
3 Tc 0.7500 0.2500 0.5000  4 Ge 2.45
4 Mo 0.0000 0.0000 0.0000  8 Ge 3.05, 8 Tc 3.27
5 Tc 0.2500 0.7500 0.5000  4 Ge 2.45


[5]
The following is a DFT calculation (GGA-PBE) of an optimized crystal structure of AcZrGe.

Calculated values
Relative energy among the computed polymorphs, eV/f.u.: 1.32
E_tot, eV/atom: -4.92

abc: 5.1903 5.1903 5.1903
angles: 60.00 60.00 60.00
Closest atoms and distances in Å follow each position.
Positions (direct):
1 Zr 0.7500 0.7500 0.7500  4 Ac 3.18
2 Ac 0.0000 0.0000 0.0000  4 Zr 3.18, 4 Ge 3.18
3 Ge 0.2500 0.2500 0.2500  4 Ac 3.18


[6]
The following is a DFT calculation (GGA-PBE) of an optimized crystal structure of Er3PPd.

Calculated values
E_tot, eV/atom: -5.27

abc: 5.1433 5.1433 5.1433
angles: 90.00 90.00 90.00
Closest atoms and distances in Å follow each position.
Positions (direct):
1 Er 0.5000 0.0000 0.0000  2 P 2.57
2 Er 0.0000 0.5000 0.0000  2 P 2.57
3 Pd 0.5000 0.5000 0.5000  12 Er 3.64
4 P 0.0000 0.0000 0.0000  6 Er 2.57
5 Er 0.0000 0.0000 0.5000  2 P 2.57


[7]
The following is a DFT calculation (GGA-PBE) of an optimized crystal structure of GdHoI2O2.

Calculated values
E_tot, eV/atom: -6.42

abc: 3.9271 3.9271 9.0899
angles: 90.00 90.00 90.00
Closest atoms and distances in Å follow each position.
Positions (direct):
1 Gd 0.0000 0.0000 0.8770  4 O 2.27
2 I 0.0000 0.0000 0.3283  4 Ho 3.36, 4 O 3.56
3 Ho 0.5000 0.5000 0.1205  4 O 2.24
4 I 0.5000 0.5000 0.6697  4 Gd 3.36, 4 O 3.60
5 O 0.0000 0.5000 0.0022  2 Ho 2.24, 2 Gd 2.27
6 O 0.5000 0.0000 0.0022  2 Ho 2.24, 2 Gd 2.27


[8]
The following is a DFT calculation (GGA-PBE) of an optimized crystal structure of Cu5Ag4.

Calculated values
Relative energy among the computed polymorphs, eV/f.u.: 0.32
E_tot, eV/atom: -3.24

abc: 16.7757 16.7757 16.7757
angles: 170.42 170.42 13.56
Closest atoms and distances in Å follow each position.
Positions (direct):
1 Cu 0.0000 0.0000 0.0000  12 Cu 2.51-2.80
2 Cu 0.3392 0.3392 0.0000  8 Ag 2.73-2.75, 4 Cu 2.80
3 Ag 0.7829 0.7829 0.0000  4 Cu 2.73, 8 Ag 2.80-2.96
4 Ag 0.8965 0.8965 0.0000  8 Cu 2.75, 4 Ag 2.80
5 Ag 0.1035 0.1035 0.0000  8 Cu 2.75, 4 Ag 2.80
6 Cu 0.4538 0.4538 0.0000  8 Cu 2.51-2.80, 4 Ag 2.75
7 Cu 0.5462 0.5462 0.0000  8 Cu 2.51-2.80, 4 Ag 2.75
8 Ag 0.2171 0.2171 0.0000  4 Cu 2.73, 8 Ag 2.80-2.96
9 Cu 0.6608 0.6608 0.0000  8 Ag 2.73-2.75, 4 Cu 2.80